Here is crystalline InSi2Au at its relaxed geometry from the Alexandria database. Energies are from PBE.

abc: 4.211 4.207 4.832
angles: 79.60 90.00 90.00
Atoms (fractional coordinates):
Si 0.000 0.009 0.091
Si 0.000 0.491 0.409
Au 0.500 0.250 0.250
In 0.500 0.750 0.750

* SG: P2/m
* E: -16.18 eV/cell



Here is crystalline LiAgPt2 at its relaxed geometry from the Alexandria database. Energies are from PBE.

abc: 4.584 4.584 2.941
angles: 90.00 90.00 90.00
Atoms (fractional coordinates):
Li 0.000 0.500 0.500
Pt 0.000 0.000 0.000
Pt 0.500 0.500 0.000
Ag 0.500 0.000 0.500

* SG: P4/mmm
* E: -17.35 eV/cell



Here is crystalline Zn2CrSi at its relaxed geometry from the Alexandria database. Energies are from PBE.

abc: 4.344 4.344 4.344
angles: 60.00 60.00 60.00
Each line ends with the local moment (μB).
Atoms (fractional coordinates):
Zn 0.000 0.000 0.000  -0.01
Zn 0.250 0.250 0.250  0.00
Cr 0.500 0.500 0.500  3.16
Si 0.750 0.750 0.750  -0.03

* SG: F-43m
* E: -16.57 eV/cell



Here is crystalline Li4Ag2Pt at its relaxed geometry from the Alexandria database. Energies are from PBE.

abc: 4.337 5.350 5.350
angles: 106.84 90.00 90.00
Atoms (fractional coordinates):
Li 0.000 0.775 0.775
Li 0.500 0.000 0.500
Li 0.500 0.500 0.000
Li 0.000 0.225 0.225
Ag 0.000 0.723 0.277
Ag 0.000 0.277 0.723
Pt 0.500 0.500 0.500

* SG: Cmmm
* E: -21.18 eV/cell



Here is crystalline Pm2Ge4Pd3 at its relaxed geometry from the Alexandria database. Energies are from PBE.

abc: 5.849 7.605 8.200
angles: 90.00 110.89 90.00
Atoms (fractional coordinates):
Ge 0.319 0.474 0.637
Ge 0.681 0.526 0.363
Ge 0.692 0.750 0.884
Ge 0.181 0.974 0.363
Ge 0.308 0.250 0.116
Ge 0.819 0.026 0.637
Ge 0.808 0.250 0.116
Ge 0.192 0.750 0.884
Pd 0.500 0.500 0.000
Pd 0.026 0.750 0.552
Pd 0.526 0.750 0.552
Pd 0.974 0.250 0.448
Pd 0.000 0.000 0.000
Pd 0.474 0.250 0.448
Pm 0.109 0.591 0.217
Pm 0.891 0.409 0.783
Pm 0.391 0.091 0.783
Pm 0.609 0.909 0.217

* SG: Cmce
* E: -100.74 eV/cell



Here is crystalline YTm3Al8 at its relaxed geometry from the Alexandria database. Energies are from PBE.

abc: 5.519 5.519 9.047
angles: 90.00 90.00 120.00
Atoms (fractional coordinates):
Al 0.162 0.324 0.249
Al 0.333 0.667 0.000
Al 0.333 0.667 0.499
Al 0.505 0.495 0.751
Al 0.505 0.009 0.751
Al 0.162 0.838 0.249
Al 0.991 0.495 0.751
Al 0.676 0.838 0.249
Tm 0.667 0.333 0.432
Tm 0.667 0.333 0.067
Tm 0.000 0.000 0.933
Y 0.000 0.000 0.567

* SG: P3m1
* E: -55.81 eV/cell



Let's list M_tot in order: 0.000; 0.000; 0.862; 0.000; 0.000; 0.000 μB per atom.